Pm2SbPd after structural relaxation. Source: Alexandria via LeMat-Bulk, functional GGA-PBE.

Unit cell a=5.2803 b=5.2803 c=5.2803 alpha=60.00 beta=60.00 gamma=60.00
Closest atoms and distances in Å follow each position.
Fractional positions:
Pm (0.2500, 0.2500, 0.2500)  4 Pd 3.23, 4 Sb 3.23
Pm (0.7500, 0.7500, 0.7500)  4 Sb 3.23, 4 Pd 3.23
Sb (0.0000, 0.0000, 0.0000)  8 Pm 3.23
Pd (0.5000, 0.5000, 0.5000)  8 Pm 3.23

Summary:
Its uncorrected formation energy is -0.79 eV per atom. For the density of states at the Fermi level, the calculation gives 3.337 states/eV/f.u. The calculation puts the energy above the most stable polymorph in this dataset at 13 meV/atom. Its space group is Fm-3m.


Pm4Sb2Pd after structural relaxation. Source: Alexandria via LeMat-Bulk, functional GGA-PBE.

Unit cell a=9.1399 b=9.1399 c=9.1399 alpha=146.59 beta=146.59 gamma=47.97
Closest atoms and distances in Å follow each position.
Fractional positions:
Pm (0.0000, 0.5000, 0.5000)  2 Pd 2.63
Pm (0.1780, 0.1780, 0.0000)  1 Pd 2.97, 1 Sb 3.14
Pm (0.5000, 0.0000, 0.5000)  2 Pd 2.63
Pm (0.8220, 0.8220, 0.0000)  1 Pd 2.97, 1 Sb 3.14
Sb (0.3661, 0.3661, 0.0000)  5 Pm 3.14-3.45
Sb (0.6339, 0.6339, 0.0000)  5 Pm 3.14-3.45
Pd (0.0000, 0.0000, 0.0000)  4 Pm 2.63

Summary:
Its uncorrected formation energy is -0.61 eV per atom. For the density of states at the Fermi level, the calculation gives 5.284 states/eV/f.u. The calculation puts the energy above the most stable polymorph in this dataset at 113 meV/atom. Its space group is I4/mmm.


PmSbPd after structural relaxation. Source: Alexandria via LeMat-Bulk, functional GGA-PBE.

Unit cell a=9.6120 b=4.6162 c=6.7866 alpha=90.00 beta=90.00 gamma=90.00
Closest atoms and distances in Å follow each position.
Fractional positions:
Pm (0.1135, 0.2500, 0.2140)  4 Pd 2.89-3.05
Pm (0.3865, 0.7500, 0.7140)  4 Pd 2.89-3.05
Pm (0.6135, 0.2500, 0.2860)  4 Pd 2.89-3.05
Pm (0.8865, 0.7500, 0.7860)  4 Pd 2.89-3.05
Sb (0.1337, 0.2500, 0.7345)  4 Pd 2.82-2.97
Sb (0.3663, 0.7500, 0.2345)  4 Pd 2.82-2.97
Sb (0.6337, 0.2500, 0.7655)  4 Pd 2.82-2.97
Sb (0.8663, 0.7500, 0.2655)  4 Pd 2.82-2.97
Pd (0.1285, 0.7500, 0.4959)  4 Sb 2.82-2.97, 4 Pm 2.89-3.05
Pd (0.3715, 0.2500, 0.9959)  4 Sb 2.82-2.97, 4 Pm 2.89-3.05
Pd (0.6285, 0.7500, 0.0041)  4 Sb 2.82-2.97, 4 Pm 2.89-3.05
Pd (0.8715, 0.2500, 0.5041)  4 Sb 2.82-2.97, 4 Pm 2.89-3.05

Summary:
Its uncorrected formation energy is -1.02 eV per atom. For the density of states at the Fermi level, the calculation gives 0.459 states/eV/f.u. The calculation puts the energy above the most stable polymorph in this dataset at 93 meV/atom. Its space group is Pnma.


Pm5SbPd2 after structural relaxation. Source: Alexandria via LeMat-Bulk, functional GGA-PBE.

Unit cell a=8.8903 b=8.8903 c=8.8903 alpha=126.03 beta=126.03 gamma=79.84
Closest atoms and distances in Å follow each position.
Fractional positions:
Pm (0.0000, 0.0000, 0.0000)  4 Pd 3.15, 2 Sb 3.41
Pm (0.0142, 0.5142, 0.8132)  3 Pd 3.05-3.08, 2 Sb 3.38
Pm (0.2010, 0.0142, 0.5000)  3 Pd 3.05-3.08, 2 Sb 3.38
Pm (0.2990, 0.7990, 0.8132)  3 Pd 3.05-3.08, 2 Sb 3.38
Pm (0.4858, 0.2990, 0.5000)  3 Pd 3.05-3.08, 2 Sb 3.38
Pm (0.5000, 0.5000, 0.0000)  4 Pd 3.15, 2 Sb 3.41
Pm (0.5142, 0.7010, 0.5000)  3 Pd 3.05-3.08, 2 Sb 3.38
Pm (0.7010, 0.2010, 0.1868)  3 Pd 3.05-3.08, 2 Sb 3.38
Pm (0.7990, 0.9858, 0.5000)  3 Pd 3.05-3.08, 2 Sb 3.38
Pm (0.9858, 0.4858, 0.1868)  3 Pd 3.05-3.08, 2 Sb 3.38
Sb (0.2500, 0.2500, 0.0000)  10 Pm 3.38-3.41
Sb (0.7500, 0.7500, 0.0000)  10 Pm 3.38-3.41
Pd (0.1334, 0.3666, 0.5000)  1 Pd 3.04, 8 Pm 3.05-3.15
Pd (0.3666, 0.8666, 0.2333)  1 Pd 3.04, 8 Pm 3.05-3.15
Pd (0.6334, 0.1334, 0.7667)  1 Pd 3.04, 8 Pm 3.05-3.15
Pd (0.8666, 0.6334, 0.5000)  1 Pd 3.04, 8 Pm 3.05-3.15

Summary:
Its uncorrected formation energy is -0.71 eV per atom. For the density of states at the Fermi level, the calculation gives 7.889 states/eV/f.u. Its space group is I4/mcm.


PmSbPd2 after structural relaxation. Source: Alexandria via LeMat-Bulk, functional GGA-PBE.

Unit cell a=8.3913 b=7.1237 c=5.7800 alpha=90.00 beta=90.00 gamma=90.00
Closest atoms and distances in Å follow each position.
Fractional positions:
Pm (0.0627, 0.2500, 0.1653)  6 Pd 3.05-3.18, 3 Sb 3.16-3.41
Pm (0.4373, 0.7500, 0.6653)  6 Pd 3.05-3.18, 3 Sb 3.16-3.41
Pm (0.5627, 0.2500, 0.3347)  6 Pd 3.05-3.18, 3 Sb 3.16-3.41
Pm (0.9373, 0.7500, 0.8347)  6 Pd 3.05-3.18, 3 Sb 3.16-3.41
Sb (0.1068, 0.7500, 0.3229)  6 Pd 2.68-2.82
Sb (0.3932, 0.2500, 0.8229)  6 Pd 2.68-2.82
Sb (0.6068, 0.7500, 0.1771)  6 Pd 2.68-2.82
Sb (0.8932, 0.2500, 0.6771)  6 Pd 2.68-2.82
Pd (0.1752, 0.0425, 0.6019)  3 Sb 2.68-2.82, 1 Pd 2.96
Pd (0.1752, 0.4575, 0.6019)  3 Sb 2.68-2.82, 1 Pd 2.96
Pd (0.3248, 0.5425, 0.1019)  3 Sb 2.68-2.82, 1 Pd 2.96
Pd (0.3248, 0.9575, 0.1019)  3 Sb 2.68-2.82, 1 Pd 2.96
Pd (0.6752, 0.0425, 0.8981)  3 Sb 2.68-2.82, 1 Pd 2.96
Pd (0.6752, 0.4575, 0.8981)  3 Sb 2.68-2.82, 1 Pd 2.96
Pd (0.8248, 0.5425, 0.3981)  3 Sb 2.68-2.82, 1 Pd 2.96
Pd (0.8248, 0.9575, 0.3981)  3 Sb 2.68-2.82, 1 Pd 2.96

Summary:
Its uncorrected formation energy is -0.87 eV per atom. For the density of states at the Fermi level, the calculation gives 1.601 states/eV/f.u. The calculation puts the energy above the most stable polymorph in this dataset at 0 meV/atom. Its space group is Pnma.


PmSbPd after structural relaxation. Source: Alexandria via LeMat-Bulk, functional GGA-PBE.

Unit cell a=4.5551 b=4.5551 c=4.0931 alpha=90.00 beta=90.00 gamma=120.00
Closest atoms and distances in Å follow each position.
Fractional positions:
Pm (0.0000, 0.0000, 0.0000)  6 Pd 3.29-3.38, 6 Sb 3.32-3.35
Sb (0.3333, 0.6667, 0.5063)  3 Pd 2.63
Pd (0.6667, 0.3333, 0.4821)  3 Sb 2.63

Summary:
Its uncorrected formation energy is -1.03 eV per atom. For the density of states at the Fermi level, the calculation gives 1.747 states/eV/f.u. The calculation puts the energy above the most stable polymorph in this dataset at 82 meV/atom. Its space group is P3m1.